VASP calculation (PBE-GGA) on a geometry-optimized YGa2Ru structure.

## Properties
Space group: Pnma
Crystal system: orthorhombic
Spin magnetization, μB per cell: 0.00
Energy of formation from the pure elements, eV/atom: -0.581
ρ, g/cm³: 7.235

abc: 7.4730 6.8958 5.8689
angles: 90.00 90.00 90.00
Last column: nearest neighbours and their distance in Å.
Fractional positions:
Y 0.0427 0.2500 0.1063  2 Ru 2.87-2.95, 4 Ga 3.05-3.14
Y 0.4573 0.7500 0.6063  2 Ru 2.87-2.95, 4 Ga 3.05-3.14
Y 0.5427 0.2500 0.3937  2 Ru 2.87-2.95, 4 Ga 3.05-3.14
Y 0.9573 0.7500 0.8937  2 Ru 2.87-2.95, 4 Ga 3.05-3.14
Ga 0.1598 0.0534 0.5891  3 Ru 2.54-2.61, 2 Ga 2.71
Ga 0.1598 0.4466 0.5891  3 Ru 2.54-2.61, 2 Ga 2.71
Ga 0.3402 0.5534 0.0891  3 Ru 2.54-2.61, 2 Ga 2.71
Ga 0.3402 0.9466 0.0891  3 Ru 2.54-2.61, 2 Ga 2.71
Ga 0.6598 0.0534 0.9109  3 Ru 2.54-2.61, 2 Ga 2.71
Ga 0.6598 0.4466 0.9109  3 Ru 2.54-2.61, 2 Ga 2.71
Ga 0.8402 0.5534 0.4109  3 Ru 2.54-2.61, 2 Ga 2.71
Ga 0.8402 0.9466 0.4109  3 Ru 2.54-2.61, 2 Ga 2.71
Ru 0.1338 0.7500 0.3427  6 Ga 2.54-2.61
Ru 0.3662 0.2500 0.8427  6 Ga 2.54-2.61
Ru 0.6338 0.7500 0.1573  6 Ga 2.54-2.61
Ru 0.8662 0.2500 0.6573  6 Ga 2.54-2.61